No. 1
The following is a DFT calculation (GGA-PBE) of crystalline Tc2AsW at its relaxed geometry.

Unit cell a=3.058 b=4.737 c=8.551 alpha=90.00 beta=90.00 gamma=90.00
Space group Cmmm (No. 65)
Symmetry-distinct sites (fractional):
Tc1 0.000 0.000 0.245 (multiplicity 4)
As1 0.000 0.500 0.000 (multiplicity 2)
W1 0.000 0.500 0.500 (multiplicity 2)

Output
Calculated volume = 15.48 Å³/atom
Calculated density = 12.2 g cm⁻³
Magnetization = 0.00 Bohr magnetons per cell
Total energy = -9.30 eV per atom

No. 2
The following is a DFT calculation (GGA-PBE) of crystalline ZnNi2Rh at its relaxed geometry.

Unit cell a=2.644 b=3.646 c=5.180 alpha=90.00 beta=90.36 gamma=90.00
Space group P2/m (No. 10)
Symmetry-distinct sites (fractional):
Zn1 0.000 0.000 0.000 (multiplicity 1)
Ni1 0.499 0.500 0.251 (multiplicity 2)
Rh1 0.000 0.000 0.500 (multiplicity 1)

Output
Calculated volume = 12.49 Å³/atom
Calculated density = 9.5 g cm⁻³
Magnetization = 1.20 Bohr magnetons per cell
Total energy = -5.14 eV per atom

No. 3
The following is a DFT calculation (GGA-PBE) of crystalline LaZr2Mo at its relaxed geometry.

Unit cell a=3.557 b=5.087 c=10.292 alpha=90.00 beta=90.00 gamma=90.00
Space group Imm2 (No. 44)
Symmetry-distinct sites (fractional):
La1 0.000 0.000 0.000 (multiplicity 2)
Zr1 0.000 0.000 0.438 (multiplicity 2)
Zr2 0.000 0.500 0.227 (multiplicity 2)
Mo1 0.000 0.500 0.739 (multiplicity 2)

Output
Calculated volume = 23.28 Å³/atom
Calculated density = 7.4 g cm⁻³
E above lowest polymorph = 0.155 eV per atom
Magnetization = 0.00 Bohr magnetons per cell
Total energy = -7.97 eV per atom

No. 4
The following is a DFT calculation (GGA-PBE) of crystalline NiAs6Pd at its relaxed geometry.

Unit cell a=12.094 b=8.588 c=8.590 alpha=90.00 beta=134.66 gamma=90.00
Space group C2/m (No. 12)
Symmetry-distinct sites (fractional):
Ni1 0.250 0.250 0.000 (multiplicity 4)
As1 0.009 0.149 0.658 (multiplicity 8)
As2 0.143 0.500 0.286 (multiplicity 4)
As3 0.149 0.148 0.141 (multiplicity 8)
As4 0.153 0.500 0.998 (multiplicity 4)
Pd1 0.250 0.250 0.500 (multiplicity 4)

Output
Calculated volume = 19.83 Å³/atom
Calculated density = 6.4 g cm⁻³
Magnetization = 0.00 Bohr magnetons per cell
Total energy = -5.06 eV per atom